# 1
Computed, not measured: a relaxed ZrSc2Hg4 crystal at the PBE level of DFT.

extended XYZ file:
```
7
Lattice="-2.722 2.722 7.234 2.722 -2.722 7.234 2.722 2.722 -7.234" Properties=species:S:1:pos:R:3 pbc="T T T"
Zr 0.000 0.000 0.000
Sc 0.000 0.000 5.829
Sc 0.000 0.000 8.638
Hg 2.722 0.000 0.000
Hg 0.000 0.000 2.925
Hg 0.000 2.722 0.000
Hg 0.000 0.000 11.543
```

Results
- energy of formation (kcal/mol of atoms) = 5.6
- E (eV/f.u.) = -20.726
- SG = No. 139
- density (g/cm³) = 7.62
- E above lowest polymorph (meV per atom) = 440

# 2
Computed, not measured: a relaxed ZrSc2Hg3 crystal at the PBE level of DFT.

extended XYZ file:
```
6
Lattice="3.527 0.000 0.000 0.000 3.527 0.000 0.000 0.000 10.512" Properties=species:S:1:pos:R:3 pbc="T T T"
Zr 0.000 0.000 0.000
Sc 0.000 0.000 3.504
Sc 0.000 0.000 7.008
Hg 1.764 1.764 1.797
Hg 1.764 1.764 5.256
Hg 1.764 1.764 8.715
```

Results
- energy of formation (kcal/mol of atoms) = -7.5
- E (eV/f.u.) = -24.078
- SG = No. 123
- density (g/cm³) = 9.94